[1]
VASP calculation (GGA-PBE) on Be2CoW after structural relaxation.

Cell and atoms, written as POSCAR:
```
Be2CoW
1.0
3.5421 0.0000 0.0000
0.0000 3.5431 0.0000
0.0000 0.0000 3.4831
Be Co W
2 1 1
direct
0.0000 0.0000 0.0000
0.5000 0.5000 0.0000
0.5000 0.0000 0.5000
0.0000 0.5000 0.5000
```

## Properties
As for the space group: P4/mmm, No. 123. The polymorph energy (0 for the lowest one) comes out at 173.8 meV/atom. The calculation puts the final energy at -6.811 eV/atom. As for the density of states at the Fermi level: 3.4 states/eV/f.u. Its formation enthalpy at 0 K is 0.27 eV per formula unit.

---

[2]
VASP calculation (GGA-PBE) on BeCo2W after structural relaxation.

Cell and atoms, written as POSCAR:
```
BeCo2W
1.0
6.2157 0.0000 0.0000
0.0000 6.2157 0.0000
3.1079 3.1079 2.3955
Be Co W
2 4 2
direct
0.5000 0.5000 0.0000
0.2500 0.7500 0.5000
0.5646 0.1250 0.2500
0.1854 0.6250 0.2500
0.3750 0.4354 0.7500
0.8750 0.8146 0.7500
0.0000 0.0000 0.0000
0.7500 0.2500 0.5000
```

## Properties
As for the space group: I-42d, No. 122. The calculation puts the final energy at -7.276 eV/atom. As for the density of states at the Fermi level: 3.6 states/eV/f.u. Its formation enthalpy at 0 K is 1.79 eV per formula unit.

---

[3]
VASP calculation (GGA-PBE) on Be2CoW2 after structural relaxation.

Cell and atoms, written as POSCAR:
```
Be2CoW2
1.0
-2.9179 -2.4577 -4.2927
-2.7850 -3.3026 3.7839
-2.4649 2.4145 0.2931
Be Co W
4 2 4
direct
0.3723 0.8723 0.0000
0.8723 0.6277 0.0000
0.6277 0.1277 0.0000
0.1277 0.3723 0.0000
0.0000 0.0000 0.0000
0.5000 0.5000 0.0000
0.1728 0.6728 0.5000
0.6728 0.8272 0.5000
0.8272 0.3272 0.5000
0.3272 0.1728 0.5000
```

## Properties
As for the space group: P4/mbm, No. 127. The calculation puts the final energy at -8.171 eV/atom. As for the density of states at the Fermi level: 4.2 states/eV/f.u. Its formation enthalpy at 0 K is -0.39 eV per formula unit.

---

[4]
VASP calculation (GGA-PBE) on BeCo2W after structural relaxation.

Cell and atoms, written as POSCAR:
```
BeCo2W
1.0
4.6361 0.0023 0.0072
3.8286 2.6144 0.0072
1.8212 0.5630 3.6545
Be Co W
1 2 1
direct
0.2500 0.2500 0.2500
0.9723 0.9723 0.0278
0.5277 0.5277 0.4722
0.7500 0.7500 0.7500
```

## Properties
As for the space group: Immm, No. 71. The calculation puts the final energy at -7.725 eV/atom. As for the density of states at the Fermi level: 3.5 states/eV/f.u. Its formation enthalpy at 0 K is -0.01 eV per formula unit.

---

[5]
VASP calculation (GGA-PBE) on BeCo4W after structural relaxation.

Cell and atoms, written as POSCAR:
```
BeCo4W
1.0
0.0000 3.2364 3.2364
3.2364 0.0000 3.2364
3.2364 3.2364 0.0000
Be Co W
1 4 1
direct
0.0000 0.0000 0.0000
0.6261 0.6261 0.1218
0.6261 0.1218 0.6261
0.6261 0.6261 0.6261
0.1218 0.6261 0.6261
0.2500 0.2500 0.2500
```

## Properties
As for the space group: F-43m, No. 216. The calculation puts the final energy at -7.396 eV/atom. As for the density of states at the Fermi level: 6.7 states/eV/f.u. Its formation enthalpy at 0 K is 0.73 eV per formula unit.

---

[6]
VASP calculation (GGA-PBE) on BeCoW4 after structural relaxation.

Cell and atoms, written as POSCAR:
```
BeCoW4
1.0
0.0000 3.6661 3.6661
3.6661 0.0000 3.6661
3.6661 3.6661 0.0000
Be Co W
1 1 4
direct
0.2500 0.2500 0.2500
0.0000 0.0000 0.0000
0.6244 0.6244 0.1267
0.6244 0.1267 0.6244
0.6244 0.6244 0.6244
0.1267 0.6244 0.6244
```

## Properties
As for the space group: F-43m, No. 216. The calculation puts the final energy at -9.526 eV/atom. As for the density of states at the Fermi level: 6.8 states/eV/f.u. Its formation enthalpy at 0 K is 5.49 eV per formula unit.